No. 1
# PBE RbTiP2S, optimized geometry
data_RbTiP2S
_space_group_name_H-M_alt 'P 4/m m m'
_space_group_IT_number 123
_space_group_name_Hall '-P 4 2'
_cell_length_a 5.147
_cell_length_b 5.147
_cell_length_c 5.274
_cell_angle_alpha 90.00
_cell_angle_beta 90.00
_cell_angle_gamma 90.00
loop_
_atom_site_label
_atom_site_type_symbol
_atom_site_fract_x
_atom_site_fract_y
_atom_site_fract_z
Rb1 Rb 0.000 0.000 0.000
Ti1 Ti 0.500 0.500 0.500
P1 P 0.000 0.500 0.000
S1 S 0.000 0.000 0.500
# - VASP energy (eV/atom) = -2.826
# - distance to the lowest polymorph of the same formula (eV per formula unit) = 11.44
# - calculated volume (Å³ per atom) = 27.94



No. 2
# PBE RbTiPS6, optimized geometry
data_RbTiPS6
_space_group_name_H-M_alt 'P 3 1 2'
_space_group_IT_number 149
_space_group_name_Hall 'P 3 2'
_cell_length_a 5.8792
_cell_length_b 5.8792
_cell_length_c 7.9781
_cell_angle_alpha 90.00
_cell_angle_beta 90.00
_cell_angle_gamma 120.00
loop_
_atom_site_label
_atom_site_type_symbol
_atom_site_fract_x
_atom_site_fract_y
_atom_site_fract_z
Rb1 Rb 0.0000 0.0000 0.0000
Ti1 Ti 0.3333 0.6667 0.5000
P1 P 0.6667 0.3333 0.5000
S1 S 0.3739 0.0196 0.6707
# - VASP energy (eV/atom) = -4.783
# - calculated volume (Å³ per atom) = 26.54



No. 3
# PBE Rb2TiPS, optimized geometry
data_Rb2TiPS
_space_group_name_H-M_alt 'P 4/m m m'
_space_group_IT_number 123
_space_group_name_Hall '-P 4 2'
_cell_length_a 6.685
_cell_length_b 6.685
_cell_length_c 4.593
_cell_angle_alpha 90.00
_cell_angle_beta 90.00
_cell_angle_gamma 90.00
loop_
_atom_site_label
_atom_site_type_symbol
_atom_site_fract_x
_atom_site_fract_y
_atom_site_fract_z
Rb1 Rb 0.000 0.500 0.000
Ti1 Ti 0.000 0.000 0.000
P1 P 0.000 0.000 0.500
S1 S 0.500 0.500 0.500
# - VASP energy (eV/atom) = -3.600
# - calculated volume (Å³ per atom) = 41.06



No. 4
# PBE RbTiP2S8, optimized geometry
data_RbTiP2S8
_space_group_name_H-M_alt 'P -3'
_space_group_IT_number 147
_space_group_name_Hall '-P 3'
_cell_length_a 6.0333
_cell_length_b 6.0333
_cell_length_c 9.3909
_cell_angle_alpha 90.00
_cell_angle_beta 90.00
_cell_angle_gamma 120.00
loop_
_atom_site_label
_atom_site_type_symbol
_atom_site_fract_x
_atom_site_fract_y
_atom_site_fract_z
Rb1 Rb 0.0000 0.0000 0.0000
Ti1 Ti 0.0000 0.0000 0.5000
P1 P 0.3333 0.6667 0.7087
S1 S 0.0024 0.3357 0.6461
S2 S 0.3333 0.6667 0.9219
# - VASP energy (eV/atom) = -4.908
# - calculated volume (Å³ per atom) = 24.67



No. 5
# PBE RbTiP2S, optimized geometry
data_RbTiP2S
_space_group_name_H-M_alt 'P 4/m m m'
_space_group_IT_number 123
_space_group_name_Hall '-P 4 2'
_cell_length_a 4.830
_cell_length_b 4.830
_cell_length_c 4.924
_cell_angle_alpha 90.00
_cell_angle_beta 90.00
_cell_angle_gamma 90.00
loop_
_atom_site_label
_atom_site_type_symbol
_atom_site_fract_x
_atom_site_fract_y
_atom_site_fract_z
Rb1 Rb 0.000 0.000 0.000
Ti1 Ti 0.500 0.500 0.500
P1 P 0.000 0.500 0.500
S1 S 0.500 0.500 0.000
# - VASP energy (eV/atom) = -5.113
# - distance to the lowest polymorph of the same formula (eV per formula unit) = 0.00
# - calculated volume (Å³ per atom) = 22.98



No. 6
# PBE RbTlPS2, optimized geometry
data_RbTlPS2
_space_group_name_H-M_alt 'P 4/m m m'
_space_group_IT_number 123
_space_group_name_Hall '-P 4 2'
_cell_length_a 6.013
_cell_length_b 6.013
_cell_length_c 6.263
_cell_angle_alpha 90.00
_cell_angle_beta 90.00
_cell_angle_gamma 90.00
loop_
_atom_site_label
_atom_site_type_symbol
_atom_site_fract_x
_atom_site_fract_y
_atom_site_fract_z
Rb1 Rb 0.000 0.000 0.000
Tl1 Tl 0.500 0.500 0.500
P1 P 0.000 0.000 0.500
S1 S 0.000 0.500 0.000
# - VASP energy (eV/atom) = -2.371
# - distance to the lowest polymorph of the same formula (eV per formula unit) = 3.57
# - calculated volume (Å³ per atom) = 45.29